# Ac2Ni4Ge3Ir (GGA-PBE, relaxed)
# Mass density, g/cm3: 9.99
# Energy of formation, meV/atom: -506
# Crystal system: tetragonal
# Calculated total energy, hartree per atom: -0.217
data_Ac2Ni4Ge3Ir
_space_group_name_H-M_alt 'P -4 m 2'
_space_group_IT_number 115
_cell_length_a 4.2540
_cell_length_b 4.2540
_cell_length_c 10.0889
_cell_angle_alpha 90.00
_cell_angle_beta 90.00
_cell_angle_gamma 90.00
loop_
_space_group_symop_operation_xyz
'x,y,z'
'y,-x,-z'
'-x,-y,z'
'-y,x,-z'
'-x,y,z'
'-y,-x,-z'
'x,-y,z'
'y,x,-z'
loop_
_atom_site_label
_atom_site_type_symbol
_atom_site_fract_x
_atom_site_fract_y
_atom_site_fract_z
_atom_site_occupancy
Ac1 Ac 0.0000 0.5000 0.2492 1
Ni1 Ni 0.0000 0.0000 0.5000 1
Ni2 Ni 0.0000 0.5000 0.8683 1
Ni3 Ni 0.5000 0.5000 0.5000 1
Ge1 Ge 0.0000 0.0000 0.0000 1
Ge2 Ge 0.0000 0.5000 0.6183 1
Ir1 Ir 0.5000 0.5000 0.0000 1

# Na2InCuO4 (GGA-PBE, relaxed)
# Mass density, g/cm3: 4.76
# E_form (uncorrected), meV per atom: -1218.6
# Crystal system: monoclinic
# Calculated total energy, hartree per atom: -0.179
data_Na2InCuO4
_space_group_name_H-M_alt 'P 1 2/m 1'
_space_group_IT_number 10
_cell_length_a 6.0546
_cell_length_b 3.0130
_cell_length_c 6.1278
_cell_angle_alpha 90.00
_cell_angle_beta 115.88
_cell_angle_gamma 90.00
loop_
_space_group_symop_operation_xyz
'x,y,z'
'-x,-y,-z'
'-x,y,-z'
'x,-y,z'
loop_
_atom_site_label
_atom_site_type_symbol
_atom_site_fract_x
_atom_site_fract_y
_atom_site_fract_z
_atom_site_occupancy
Na1 Na 0.0000 0.0000 0.0000 1
Na2 Na 0.5000 0.5000 0.0000 1
In1 In 0.0000 0.5000 0.5000 1
Cu1 Cu 0.5000 0.0000 0.5000 1
O1 O 0.2005 0.0000 0.7558 1
O2 O 0.2965 0.5000 0.3336 1

| no. | DOS(E_F) (states/eV/f.u.) |
| --- | --- |
| 1 | 10.00 |
| 2 | 2.15 |